Record 1
# AgPtCl2

An optimized crystal structure of AgPtCl2 (PBE-GGA, Alexandria via LeMat-Bulk).

Computed properties:
Energy relative to the lowest polymorph listed for this composition (meV per atom): 82
ΔE_f (raw) (meV per atom): -42

Lattice parameters (Å, degrees): 3.6301 4.5891 12.1264 90.00 90.00 90.00
Space group Immm (No. 71)
Inequivalent atoms, fractional coordinates:
Ag  0.0000  0.0000  0.0000
Pt  0.0000  0.0000  0.5000
Cl  0.0000  0.5000  0.1403



Record 2
# Pr6HoTl2

An optimized crystal structure of Pr6HoTl2 (PBE-GGA, Alexandria via LeMat-Bulk).

Computed properties:
Energy of formation (eV/atom): -0.123
Energy relative to the lowest polymorph listed for this composition (meV per atom): 30

Lattice parameters (Å, degrees): 16.2791 11.9179 6.0581 90.00 99.10 90.00
Space group C2/c (No. 15)
Inequivalent atoms, fractional coordinates:
Pr  0.0586  0.1135  0.0347
Pr  0.1136  0.3890  0.3014
Pr  0.2375  0.3764  0.8337
Ho  0.0000  0.3549  0.7500
Tl  0.1555  0.1377  0.5993



Record 3
# IrRu6W

An optimized crystal structure of IrRu6W (PBE-GGA, Alexandria via LeMat-Bulk).

Computed properties:
Energy of formation (eV/atom): 0.024

Lattice parameters (Å, degrees): 5.4318 5.4318 3.8697 90.00 90.00 90.00
Space group P4/mmm (No. 123)
Inequivalent atoms, fractional coordinates:
Ir  0.0000  0.0000  0.0000
Ru  0.0000  0.5000  0.0000
Ru  0.2486  0.2486  0.5000
W  0.5000  0.5000  0.0000



Record 4
# BaCrCl2

An optimized crystal structure of BaCrCl2 (PBE-GGA, Alexandria via LeMat-Bulk).

Computed properties:
Energy relative to the lowest polymorph listed for this composition (meV per atom): 521
ΔE_f (raw) (meV per atom): -444

Lattice parameters (Å, degrees): 5.6671 5.6671 13.2285 90.00 90.00 90.00
Space group I-42d (No. 122)
Inequivalent atoms, fractional coordinates:
Ba  0.0000  0.0000  0.0000
Cr  0.0000  0.0000  0.5000
Cl  0.1174  0.2500  0.6250



no.,uncorrected energy (eV per atom),magnetization (μB/f.u.)
1,-3.188,1.0
2,-4.344,0.0
3,-9.660,0.0
4,-4.254,0.0